1.
TlBP3: optimized geometry, PBE-GGA.

Geometry as POSCAR:
```
TlBP3
1.0
5.144 0.000 0.000
0.000 5.144 0.000
0.000 0.000 5.144
Tl B P
1 1 3
direct
0.000 0.000 0.000
0.500 0.500 0.500
0.000 0.000 0.500
0.000 0.500 0.000
0.500 0.000 0.000
```

Computed properties:
**Crystal system**: cubic
**Raw total energy**: -2.70 eV per atom
**Calculated volume**: 136.15 Å³/f.u.
**ΔE_f**: 2.3535 eV per atom
**Space-group type**: No. 221

***

2.
Tl2BP: optimized geometry, PBE-GGA.

Geometry as POSCAR:
```
Tl2BP
1.0
5.907 0.000 0.000
0.000 5.907 0.000
0.000 0.000 11.059
Tl B P
8 4 4
direct
0.205 0.250 0.125
0.250 0.705 0.375
0.250 0.795 0.875
0.295 0.250 0.625
0.705 0.750 0.625
0.750 0.205 0.875
0.750 0.295 0.375
0.795 0.750 0.125
0.000 0.000 0.000
0.000 0.500 0.250
0.500 0.000 0.750
0.500 0.500 0.500
0.000 0.000 0.500
0.000 0.500 0.750
0.500 0.000 0.250
0.500 0.500 0.000
```

Computed properties:
**Crystal system**: tetragonal
**Raw total energy**: -3.34 eV per atom
**Calculated volume**: 96.47 Å³/f.u.
**ΔE_f**: 0.8700 eV per atom
**Space-group type**: No. 122

***

3.
UB2P6: optimized geometry, PBE-GGA.

Geometry as POSCAR:
```
UB2P6
1.0
5.881 -4.155 0.000
5.881 4.155 0.000
-1.299 0.000 5.860
U B P
2 4 12
direct
0.148 0.852 0.750
0.852 0.148 0.250
0.265 0.406 0.738
0.406 0.265 0.238
0.594 0.735 0.762
0.735 0.594 0.262
0.085 0.594 0.974
0.145 0.198 0.615
0.198 0.145 0.115
0.336 0.499 0.474
0.406 0.915 0.526
0.499 0.336 0.974
0.501 0.664 0.026
0.594 0.085 0.474
0.664 0.501 0.526
0.802 0.855 0.885
0.855 0.802 0.385
0.915 0.406 0.026
```

Computed properties:
**Crystal system**: monoclinic
**Raw total energy**: -6.36 eV per atom
**Calculated volume**: 143.19 Å³/f.u.
**ΔE_f**: -0.0157 eV per atom
**Space-group type**: No. 15

***

Which value of raw total energy does entry 2 give? -3.34 eV per atom

***

The lowest raw total energy belongs to which entry? UB2P6

***

What is the raw total energy in the second record? -3.34 eV per atom

***

Among the records above, which one has the highest ΔE_f? TlBP3